# 1
Material: SiBP
Method: DFT, PBE
State: relaxed

abc: 4.6289 4.8417 8.3189
angles: 90.00 91.88 90.00
Sites, in units of the cell vectors:
P1 0.7920 0.6398 0.7680
P2 0.2080 0.1398 0.7320
P3 0.2080 0.6398 0.2320
P4 0.7920 0.1398 0.2680
Si1 0.6153 0.2543 0.8804
Si2 0.3847 0.2543 0.1196
Si3 0.3847 0.7543 0.6196
Si4 0.6153 0.7543 0.3804
B1 0.0616 0.9684 0.1041
B2 0.0616 0.4684 0.6041
B3 0.9384 0.9684 0.8959
B4 0.9384 0.4684 0.3959

energy above the most stable polymorph in this dataset	0.400	eV per formula unit
spin magnetization	0.0	μB/f.u.
mass density	2.5	g cm⁻³
SG	C2, No. 5
VASP energy	-5.8717	eV per atom

# 2
Material: SiBP
Method: DFT, PBE
State: relaxed

abc: 2.5246 3.1132 5.1043
angles: 90.00 90.00 90.00
Sites, in units of the cell vectors:
P1 0.0000 0.0000 0.2873
Si1 0.0000 0.0000 0.7710
B1 0.0000 0.5000 0.0573

energy above the most stable polymorph in this dataset	1.965	eV per formula unit
DOS at the Fermi energy	1.10	states/eV/cell
spin magnetization	0.0	μB/f.u.
mass density	2.9	g cm⁻³
SG	Pmm2, No. 25
VASP energy	-5.3501	eV per atom

# 3
Material: SiB2P
Method: DFT, PBE
State: relaxed

abc: 3.1932 3.1932 5.5449
angles: 90.00 90.00 120.00
Sites, in units of the cell vectors:
B1 0.3333 0.6667 0.5767
B2 0.6667 0.3333 0.0467
P1 0.3333 0.6667 0.9246
Si1 0.6667 0.3333 0.4136

energy above the most stable polymorph in this dataset	0.007	eV per formula unit
DOS at the Fermi energy	0.59	states/eV/cell
spin magnetization	0.0	μB/f.u.
mass density	2.7	g cm⁻³
SG	P3m1, No. 156
VASP energy	-6.0715	eV per atom

# 4
Material: SiB2P
Method: DFT, PBE
State: relaxed

abc: 3.2172 3.2172 16.4285
angles: 90.00 90.00 120.00
Sites, in units of the cell vectors:
P1 0.6667 0.3333 0.3183
P2 0.3333 0.6667 0.6516
P3 0.0000 0.0000 0.9849
B1 0.0000 0.0000 0.3582
B2 0.6667 0.3333 0.6915
B3 0.3333 0.6667 0.5343
B4 0.6667 0.3333 0.2009
B5 0.3333 0.6667 0.0248
B6 0.0000 0.0000 0.8676
Si1 0.3333 0.6667 0.1486
Si2 0.0000 0.0000 0.4819
Si3 0.6667 0.3333 0.8152

energy above the most stable polymorph in this dataset	0.004	eV per formula unit
DOS at the Fermi energy	2.90	states/eV/cell
spin magnetization	0.0	μB/f.u.
mass density	2.7	g cm⁻³
SG	R3m, No. 160
VASP energy	-6.0724	eV per atom

# 5
Material: SiBP
Method: DFT, PBE
State: relaxed

abc: 5.9014 3.4102 9.4744
angles: 90.00 108.64 90.00
Sites, in units of the cell vectors:
P1 0.5362 0.5000 0.6970
P2 0.5362 0.0000 0.1970
P3 0.2413 0.5000 0.3446
P4 0.2413 0.0000 0.8446
B1 0.4460 0.5000 0.8800
B2 0.0331 0.0000 0.6324
B3 0.0331 0.5000 0.1324
B4 0.4460 0.0000 0.3800
Si1 0.1378 0.5000 0.5580
Si2 0.1378 0.0000 0.0580
Si3 0.6805 0.5000 0.0939
Si4 0.6805 0.0000 0.5939

energy above the most stable polymorph in this dataset	0.220	eV per formula unit
spin magnetization	0.0	μB/f.u.
mass density	2.6	g cm⁻³
SG	Cm, No. 8
VASP energy	-5.9316	eV per atom

# 6
Material: SiBP
Method: DFT, PBE
State: relaxed

abc: 5.6782 3.4036 9.6101
angles: 90.00 106.54 90.00
Sites, in units of the cell vectors:
Si1 0.4108 0.5000 0.0053
Si2 0.7577 0.0000 0.8275
Si3 0.4108 0.0000 0.5053
Si4 0.7577 0.5000 0.3275
P1 0.6885 0.5000 0.5541
P2 0.3351 0.0000 0.7260
P3 0.6885 0.0000 0.0541
P4 0.3351 0.5000 0.2260
B1 0.8868 0.5000 0.7640
B2 0.8868 0.0000 0.2640
B3 0.2024 0.5000 0.7906
B4 0.2024 0.0000 0.2906

energy above the most stable polymorph in this dataset	0.323	eV per formula unit
DOS at the Fermi energy	0.13	states/eV/cell
spin magnetization	0.0	μB/f.u.
mass density	2.6	g cm⁻³
SG	Cm, No. 8
VASP energy	-5.8973	eV per atom